Record 1
A plane-wave DFT calculation with PBE was carried out for a geometry-optimized Na3CrRh2Se6 structure.

a b c (Å): 6.5754 11.3871 7.0633
angles (deg): 90.00 108.04 90.00
With the nearest neighbours (Å) after each atom.
Space group C2/m (No. 12)
Asymmetric unit:
Na (0.0000, 0.0000, 0.0000) (multiplicity 2)  6 Se 2.99-3.02
Na (0.0000, 0.3323, 0.0000) (multiplicity 4)  6 Se 2.99-3.02
Cr (0.0000, 0.5000, 0.5000) (multiplicity 2)  6 Se 2.56
Rh (0.0000, 0.1667, 0.5000) (multiplicity 4)  6 Se 2.54
Se (0.2284, 0.0000, 0.6935) (multiplicity 4)  2 Rh 2.54, 1 Cr 2.56
Se (0.2323, 0.3320, 0.6932) (multiplicity 8)  2 Rh 2.54, 1 Cr 2.56

- calculated density (g/cm³) = 5.29
- crystal system = monoclinic
- formation energy (no corrections) (eV per atom) = -0.716
- calculated total energy (eV/atom) = -4.816

Record 2
A plane-wave DFT calculation with PBE was carried out for a geometry-optimized NaCrTe2Rh structure.

a b c (Å): 5.2538 5.2538 4.5480
angles (deg): 90.00 90.00 90.00
With the nearest neighbours (Å) after each atom.
Space group P4/mmm (No. 123)
Asymmetric unit:
Na (0.0000, 0.0000, 0.0000) (multiplicity 1)  2 Rh 2.27
Cr (0.5000, 0.5000, 0.5000) (multiplicity 1)  8 Te 3.47, 4 Rh 3.71
Te (0.0000, 0.5000, 0.0000) (multiplicity 2)  2 Na 2.63
Rh (0.0000, 0.0000, 0.5000) (multiplicity 1)  2 Na 2.27

- calculated density (g/cm³) = 5.73
- crystal system = tetragonal
- formation energy (no corrections) (eV per atom) = 1.562
- calculated total energy (eV/atom) = -3.354

Record 3
A plane-wave DFT calculation with PBE was carried out for a geometry-optimized NaCr2Ru structure.

a b c (Å): 6.1401 6.1401 6.1401
angles (deg): 90.00 90.00 90.00
With the nearest neighbours (Å) after each atom.
Space group Fm-3m (No. 225)
Asymmetric unit:
Na (0.0000, 0.0000, 0.0000) (multiplicity 4)  8 Cr 2.66
Cr (0.2500, 0.2500, 0.2500) (multiplicity 8)  4 Na 2.66, 4 Ru 2.66
Ru (0.0000, 0.0000, 0.5000) (multiplicity 4)  8 Cr 2.66

- calculated density (g/cm³) = 6.54
- ΔE_f (meV per atom) = 870
- crystal system = cubic
- calculated total energy (eV/atom) = -6.590

Record 4
A plane-wave DFT calculation with PBE was carried out for a geometry-optimized Na2CrRu structure.

a b c (Å): 8.1700 8.1700 4.9224
angles (deg): 90.00 90.00 90.00
With the nearest neighbours (Å) after each atom.
Space group I-42d (No. 122)
Asymmetric unit:
Na (0.2400, 0.2500, 0.1250) (multiplicity 8)  2 Na 2.47
Cr (0.0000, 0.0000, 0.5000) (multiplicity 4)  2 Ru 2.46
Ru (0.0000, 0.0000, 0.0000) (multiplicity 4)  2 Cr 2.46

- calculated density (g/cm³) = 4.02
- ΔE_f (meV per atom) = 1151
- crystal system = tetragonal
- calculated total energy (eV/atom) = -4.233

Record 5
A plane-wave DFT calculation with PBE was carried out for a geometry-optimized NaCrRu2 structure.

a b c (Å): 6.9397 6.9397 5.4368
angles (deg): 90.00 90.00 90.00
With the nearest neighbours (Å) after each atom.
Space group I-42d (No. 122)
Asymmetric unit:
Na (0.0000, 0.0000, 0.0000) (multiplicity 4)  2 Cr 2.72, 8 Ru 2.85-2.98
Cr (0.0000, 0.0000, 0.5000) (multiplicity 4)  4 Ru 2.28
Ru (0.1895, 0.2500, 0.6250) (multiplicity 8)  2 Cr 2.28

- calculated density (g/cm³) = 7.03
- ΔE_f (meV per atom) = 824
- crystal system = tetragonal
- calculated total energy (eV/atom) = -6.549

Record 6
A plane-wave DFT calculation with PBE was carried out for a geometry-optimized Na3CrRu structure.

a b c (Å): 5.4584 5.4584 5.4584
angles (deg): 90.00 90.00 90.00
With the nearest neighbours (Å) after each atom.
Space group Pm-3m (No. 221)
Asymmetric unit:
Na (0.0000, 0.0000, 0.5000) (multiplicity 3)  2 Ru 2.73
Cr (0.5000, 0.5000, 0.5000) (multiplicity 1)  12 Na 3.86
Ru (0.0000, 0.0000, 0.0000) (multiplicity 1)  6 Na 2.73

- calculated density (g/cm³) = 2.27
- ΔE_f (meV per atom) = 1448
- crystal system = cubic
- calculated total energy (eV/atom) = -3.123

Record 7
A plane-wave DFT calculation with PBE was carried out for a geometry-optimized NaCr2Ru structure.

a b c (Å): 7.2234 7.2234 5.8076
angles (deg): 90.00 90.00 90.00
With the nearest neighbours (Å) after each atom.
Space group I-42d (No. 122)
Asymmetric unit:
Na (0.0000, 0.0000, 0.0000) (multiplicity 4)  2 Ru 2.90, 8 Cr 2.99-3.13
Cr (0.1865, 0.2500, 0.6250) (multiplicity 8)  2 Ru 2.37
Ru (0.0000, 0.0000, 0.5000) (multiplicity 4)  4 Cr 2.37

- calculated density (g/cm³) = 5.00
- ΔE_f (meV per atom) = 1081
- crystal system = tetragonal
- calculated total energy (eV/atom) = -6.379

Record 8
A plane-wave DFT calculation with PBE was carried out for a geometry-optimized NaCrRu3 structure.

a b c (Å): 4.4853 4.4853 4.4853
angles (deg): 90.00 90.00 90.00
With the nearest neighbours (Å) after each atom.
Space group Pm-3m (No. 221)
Asymmetric unit:
Na (0.0000, 0.0000, 0.0000) (multiplicity 1)  12 Ru 3.17
Cr (0.5000, 0.5000, 0.5000) (multiplicity 1)  6 Ru 2.24
Ru (0.0000, 0.5000, 0.5000) (multiplicity 3)  2 Cr 2.24

- calculated density (g/cm³) = 6.96
- ΔE_f (meV per atom) = 1138
- crystal system = cubic
- calculated total energy (eV/atom) = -6.616

Record 9
A plane-wave DFT calculation with PBE was carried out for a geometry-optimized NaCrRu3 structure.

a b c (Å): 4.3403 4.3403 4.3403
angles (deg): 90.00 90.00 90.00
With the nearest neighbours (Å) after each atom.
Space group Pm-3m (No. 221)
Asymmetric unit:
Na (0.0000, 0.0000, 0.0000) (multiplicity 1)  6 Ru 2.17
Cr (0.5000, 0.5000, 0.5000) (multiplicity 1)  12 Ru 3.07
Ru (0.0000, 0.0000, 0.5000) (multiplicity 3)  2 Na 2.17

- calculated density (g/cm³) = 7.68
- ΔE_f (meV per atom) = 2539
- crystal system = cubic
- calculated total energy (eV/atom) = -5.215

Record 10
A plane-wave DFT calculation with PBE was carried out for a geometry-optimized Na3CrRu structure.

a b c (Å): 5.4901 5.4901 5.4901
angles (deg): 90.00 90.00 90.00
With the nearest neighbours (Å) after each atom.
Space group Pm-3m (No. 221)
Asymmetric unit:
Na (0.0000, 0.0000, 0.5000) (multiplicity 3)  2 Cr 2.75
Cr (0.0000, 0.0000, 0.0000) (multiplicity 1)  6 Na 2.75
Ru (0.5000, 0.5000, 0.5000) (multiplicity 1)  12 Na 3.88

- calculated density (g/cm³) = 2.23
- ΔE_f (meV per atom) = 1631
- crystal system = cubic
- calculated total energy (eV/atom) = -2.940

Record 11
A plane-wave DFT calculation with PBE was carried out for a geometry-optimized NaCrSiRu2 structure.

a b c (Å): 4.4636 4.4636 4.4290
angles (deg): 90.00 90.00 90.00
With the nearest neighbours (Å) after each atom.
Space group P4/mmm (No. 123)
Asymmetric unit:
Na (0.0000, 0.0000, 0.0000) (multiplicity 1)  8 Ru 3.14, 4 Cr 3.16
Cr (0.5000, 0.5000, 0.0000) (multiplicity 1)  2 Si 2.21
Si (0.5000, 0.5000, 0.5000) (multiplicity 1)  2 Cr 2.21, 4 Ru 2.23
Ru (0.0000, 0.5000, 0.5000) (multiplicity 2)  2 Si 2.23

- calculated density (g/cm³) = 5.74
- crystal system = tetragonal
- formation energy (no corrections) (eV per atom) = 0.925
- calculated total energy (eV/atom) = -6.058

Record 12
A plane-wave DFT calculation with PBE was carried out for a geometry-optimized NaCr6S8 structure.

a b c (Å): 8.7735 8.7735 10.7368
angles (deg): 90.00 90.00 120.00
With the nearest neighbours (Å) after each atom.
Space group R-3 (No. 148, hexagonal axes)
Asymmetric unit:
Na (0.0000, 0.0000, 0.0000) (multiplicity 3)  2 S 2.58
Cr (0.0126, 0.8379, 0.3971) (multiplicity 18)  5 S 2.24-2.36
S (0.0000, 0.0000, 0.2405) (multiplicity 6)  3 Cr 2.24
S (0.0199, 0.6426, 0.2493) (multiplicity 18)  4 Cr 2.30-2.36

- calculated density (g/cm³) = 4.12
- crystal system = trigonal
- formation energy (no corrections) (eV per atom) = -0.725
- calculated total energy (eV/atom) = -6.864